[1]
A plane-wave DFT calculation with PBE-GGA was carried out for an optimized crystal structure of TiBeAl2.

The structure in POSCAR format:
```
TiBeAl2
1.0
-3.456 3.456 2.550
3.456 -3.456 2.550
3.456 3.456 -2.550
Ti Be Al
2 2 4
Direct
0.000 0.000 0.000
0.750 0.250 0.500
0.250 0.750 0.500
0.500 0.500 0.000
0.179 0.625 0.054
0.375 0.429 0.554
0.571 0.125 0.946
0.875 0.821 0.446
```

## Properties
V = 15.228 Å³/atom
Raw total energy = -4.678 eV/atom
Crystal system = tetragonal

---

[2]
A plane-wave DFT calculation with PBE-GGA was carried out for an optimized crystal structure of PmMg3Sn6.

The structure in POSCAR format:
```
PmMg3Sn6
1.0
10.131 0.000 0.000
0.000 4.521 0.000
-0.468 0.000 11.120
Pm Mg Sn
2 6 12
Direct
0.054 0.250 0.373
0.946 0.750 0.627
0.254 0.250 0.999
0.352 0.750 0.801
0.454 0.250 0.598
0.546 0.750 0.402
0.648 0.250 0.199
0.746 0.750 0.001
0.066 0.750 0.907
0.154 0.750 0.186
0.179 0.250 0.690
0.261 0.750 0.499
0.365 0.250 0.295
0.451 0.750 0.096
0.549 0.250 0.904
0.635 0.750 0.705
0.739 0.250 0.501
0.821 0.750 0.310
0.846 0.250 0.814
0.934 0.250 0.093
```

## Properties
V = 25.468 Å³/atom
Raw total energy = -3.577 eV/atom
Crystal system = monoclinic